DFT (PBEsol) results for crystalline CeCoCuSi2 at its relaxed geometry.

Structure (CIF):
```
data_CeCoCuSi2
_chemical_formula_sum 'Ce2 Co2 Cu2 Si4'
_space_group_name_H-M_alt 'I -4 m 2'
_space_group_IT_number 119
_space_group_name_Hall 'I -4 -2'
_cell_length_a 3.987
_cell_length_b 3.987
_cell_length_c 9.567
_cell_angle_alpha 90.00
_cell_angle_beta 90.00
_cell_angle_gamma 90.00
loop_
_atom_site_label
_atom_site_type_symbol
_atom_site_fract_x
_atom_site_fract_y
_atom_site_fract_z
Ce1 Ce 0.000 0.000 0.000
Co1 Co 0.000 0.500 0.250
Cu1 Cu 0.000 0.500 0.750
Si1 Si 0.000 0.000 0.374
```

Values from the calculation:
Volume (Å³/atom): 15.21
Calculated total energy (eV/atom): -6.680
Magnetic moment (μB per atom): 0.083
ρ (Mg/m³): 6.96